Record 1
The following is a GGA-PBE calculation of a relaxed ErGe3Ru crystal, from the Alexandria database.

Computed properties:
* energy of formation: -0.415 eV/atom
* calculated total energy: -5.95 eV/atom

Cell and atoms, written as POSCAR:
```
ErGe3Ru
1.0
6.120 0.000 0.000
0.000 5.647 0.000
0.000 0.000 5.689
Er Ge Ru
2 6 2
direct
0.000 0.140 0.000
0.500 0.860 0.500
0.000 0.913 0.551
0.234 0.324 0.452
0.266 0.676 0.952
0.500 0.087 0.051
0.734 0.676 0.952
0.766 0.324 0.452
0.000 0.616 0.259
0.500 0.384 0.759
```

---

Record 2
The following is a GGA-PBE calculation of a relaxed Er2Ge3Ru crystal, from the Alexandria database.

Computed properties:
* energy of formation: -0.636 eV/atom
* calculated total energy: -6.01 eV/atom

Cell and atoms, written as POSCAR:
```
Er2Ge3Ru
1.0
5.118 -2.199 0.000
5.118 2.199 0.000
-4.529 0.000 5.263
Er Ge Ru
2 3 1
direct
0.000 0.000 0.000
0.107 0.107 0.601
0.375 0.375 0.196
0.677 0.677 0.950
0.732 0.732 0.412
0.374 0.374 0.565
```

---

Record 3
The following is a GGA-PBE calculation of a relaxed ErGeRu crystal, from the Alexandria database.

Computed properties:
* energy of formation: -0.735 eV/atom
* calculated total energy: -6.89 eV/atom

Cell and atoms, written as POSCAR:
```
ErGeRu
1.0
6.990 0.000 0.000
0.000 4.398 0.000
0.000 0.000 7.245
Er Ge Ru
4 4 4
direct
0.013 0.250 0.192
0.487 0.750 0.692
0.513 0.250 0.308
0.987 0.750 0.808
0.204 0.250 0.607
0.296 0.750 0.107
0.704 0.250 0.893
0.796 0.750 0.393
0.156 0.750 0.438
0.344 0.250 0.938
0.656 0.750 0.062
0.844 0.250 0.562
```

---

Record 4
The following is a GGA-PBE calculation of a relaxed ErGeRu crystal, from the Alexandria database.

Computed properties:
* energy of formation: -0.727 eV/atom
* calculated total energy: -6.88 eV/atom

Cell and atoms, written as POSCAR:
```
ErGeRu
1.0
1.770 -5.365 0.000
1.770 5.365 0.000
0.000 0.000 5.901
Er Ge Ru
2 2 2
direct
0.175 0.825 0.750
0.825 0.175 0.250
0.106 0.894 0.250
0.894 0.106 0.750
0.500 0.500 0.000
0.500 0.500 0.500
```

---

Record 5
The following is a GGA-PBE calculation of a relaxed ErGe3Ru5 crystal, from the Alexandria database.

Computed properties:
* energy of formation: -0.203 eV/atom
* calculated total energy: -7.40 eV/atom

Cell and atoms, written as POSCAR:
```
ErGe3Ru5
1.0
1.513 -6.722 0.000
1.513 6.722 0.000
0.000 0.000 14.241
Er Ge Ru
2 6 10
direct
0.147 0.853 0.750
0.853 0.147 0.250
0.147 0.853 0.250
0.367 0.633 0.058
0.367 0.633 0.442
0.633 0.367 0.558
0.633 0.367 0.942
0.853 0.147 0.750
0.000 0.000 0.000
0.000 0.000 0.500
0.189 0.811 0.081
0.189 0.811 0.419
0.470 0.530 0.655
0.470 0.530 0.845
0.530 0.470 0.155
0.530 0.470 0.345
0.811 0.189 0.581
0.811 0.189 0.919
```

---

Record 6
The following is a GGA-PBE calculation of a relaxed Er2Ge5Ru3 crystal, from the Alexandria database.

Computed properties:
* energy of formation: -0.628 eV/atom
* calculated total energy: -6.63 eV/atom

Cell and atoms, written as POSCAR:
```
Er2Ge5Ru3
1.0
-4.920 6.260 2.873
4.920 -6.260 2.873
4.920 6.260 -2.873
Er Ge Ru
4 10 6
direct
0.142 0.231 0.372
0.358 0.731 0.089
0.642 0.269 0.911
0.858 0.769 0.628
0.044 0.750 0.294
0.086 0.677 0.764
0.250 0.250 0.000
0.414 0.177 0.591
0.456 0.750 0.706
0.544 0.250 0.294
0.586 0.823 0.409
0.750 0.750 0.000
0.914 0.323 0.236
0.956 0.250 0.706
0.148 0.909 0.057
0.250 0.750 0.500
0.352 0.409 0.761
0.648 0.591 0.239
0.750 0.250 0.500
0.852 0.091 0.943
```

---

- What is the energy of formation in the first record?
  -0.415 eV/atom

---

Copy entry 4 word for word.
The following is a GGA-PBE calculation of a relaxed ErGeRu crystal, from the Alexandria database.

Computed properties:
* energy of formation: -0.727 eV/atom
* calculated total energy: -6.88 eV/atom

Cell and atoms, written as POSCAR:
```
ErGeRu
1.0
1.770 -5.365 0.000
1.770 5.365 0.000
0.000 0.000 5.901
Er Ge Ru
2 2 2
direct
0.175 0.825 0.750
0.825 0.175 0.250
0.106 0.894 0.250
0.894 0.106 0.750
0.500 0.500 0.000
0.500 0.500 0.500
```